No. 1
The following is a DFT calculation (PBE) of a relaxed structure of PaTcSn.

The structure in POSCAR format:
```
PaTcSn
1.0
4.6963 0.0000 0.0000
-2.3482 4.0671 0.0000
0.0000 0.0000 3.4056
Pa Tc Sn
1 1 1
Cartesian
0.0000 0.0000 0.0000 Pa
2.3482 1.3557 1.7028 Tc
0.0000 2.7114 1.7028 Sn
```

Output
D(E_F) ... 4.474 states/eV/cell
Distance to the lowest polymorph of the same formula ... 295.4 meV/atom



No. 2
The following is a DFT calculation (PBE) of a relaxed structure of PaTcSn.

The structure in POSCAR format:
```
PaTcSn
1.0
-1.5906 1.5906 7.2088
1.5906 -1.5906 7.2088
1.5906 1.5906 -7.2088
Pa Tc Sn
1 1 1
Cartesian
0.0000 0.0000 0.0000 Pa
0.0000 0.0000 2.3019 Tc
0.0000 0.0000 11.2051 Sn
```

Output
D(E_F) ... 3.338 states/eV/cell
Distance to the lowest polymorph of the same formula ... 802.0 meV/atom



No. 3
The following is a DFT calculation (PBE) of a relaxed structure of Pa2Tc3Sn2.

The structure in POSCAR format:
```
Pa2Tc3Sn2
1.0
7.0199 -1.7746 0.0000
7.0199 1.7746 0.0000
-0.1983 0.0000 6.2482
Pa Tc Sn
2 3 2
Cartesian
1.8969 0.0000 0.8293 Pa
11.9446 0.0000 5.4190 Pa
3.5791 0.0000 4.1970 Tc
7.0199 0.0000 0.0000 Tc
10.2624 0.0000 2.0512 Tc
5.4286 0.0000 2.1285 Sn
8.4129 0.0000 4.1197 Sn
```

Output
D(E_F) ... 4.170 states/eV/cell
Distance to the lowest polymorph of the same formula ... 178.8 meV/atom